This record from Alexandria via LeMat-Bulk describes crystalline Sr3NdTl12 at its relaxed geometry. The functional is GGA-PBE.

Cell lengths 4.977, 4.977, 19.608 Å; angles 90.00, 90.00, 90.00 degrees
Positions (direct):
1 Tl 0.000 0.500 0.373
2 Tl 0.500 0.000 0.120
3 Tl 0.500 0.500 0.500
4 Tl 0.500 0.000 0.627
5 Tl 0.500 0.500 0.249
6 Tl 0.000 0.500 0.120
7 Sr 0.000 0.000 0.245
8 Sr 0.000 0.000 0.500
9 Tl 0.000 0.500 0.627
10 Tl 0.500 0.500 0.751
11 Tl 0.500 0.500 0.000
12 Nd 0.000 0.000 0.000
13 Sr 0.000 0.000 0.755
14 Tl 0.500 0.000 0.373
15 Tl 0.000 0.500 0.880
16 Tl 0.500 0.000 0.880

Computed properties:
Formation enthalpy at 0 K ... -262 meV per atom


This record from Alexandria via LeMat-Bulk describes crystalline Sr2Nd3Tl4 at its relaxed geometry. The functional is GGA-PBE.

Cell lengths 7.504, 9.237, 9.780 Å; angles 90.00, 112.56, 90.00 degrees
Positions (direct):
1 Nd 0.472 0.250 0.444
2 Sr 0.894 0.417 0.788
3 Nd 0.500 0.500 0.000
4 Nd 0.028 0.750 0.556
5 Sr 0.106 0.583 0.212
6 Sr 0.606 0.917 0.212
7 Tl 0.298 0.250 0.096
8 Tl 0.181 0.964 0.362
9 Nd 0.972 0.250 0.444
10 Tl 0.702 0.750 0.904
11 Tl 0.202 0.750 0.904
12 Nd 0.000 0.000 0.000
13 Tl 0.319 0.464 0.638
14 Sr 0.394 0.083 0.788
15 Tl 0.798 0.250 0.096
16 Nd 0.528 0.750 0.556
17 Tl 0.819 0.036 0.638
18 Tl 0.681 0.536 0.362

Computed properties:
Formation enthalpy at 0 K ... -262 meV per atom


This record from Alexandria via LeMat-Bulk describes crystalline Sr2Nd2Tl7 at its relaxed geometry. The functional is GGA-PBE.

Cell lengths 8.053, 6.383, 8.053 Å; angles 90.00, 95.70, 90.00 degrees
Positions (direct):
1 Nd 0.269 0.000 0.731
2 Sr 0.193 0.500 0.193
3 Tl 0.500 0.264 0.500
4 Tl 0.500 0.258 0.000
5 Tl 0.000 0.742 0.500
6 Nd 0.731 0.000 0.269
7 Tl 0.000 0.258 0.500
8 Tl 0.500 0.736 0.500
9 Tl 0.500 0.742 0.000
10 Tl 0.000 0.000 0.000
11 Sr 0.807 0.500 0.807

Computed properties:
Formation enthalpy at 0 K ... -9 meV per atom


This record from Alexandria via LeMat-Bulk describes crystalline SrNd2Tl3 at its relaxed geometry. The functional is GGA-PBE.

Cell lengths 3.946, 3.946, 12.059 Å; angles 90.00, 90.00, 90.00 degrees
Positions (direct):
1 Tl 0.000 0.000 0.320
2 Tl 0.000 0.000 0.000
3 Nd 0.500 0.500 0.163
4 Tl 0.000 0.000 0.680
5 Nd 0.500 0.500 0.837
6 Sr 0.500 0.500 0.500

Computed properties:
Formation enthalpy at 0 K ... -391 meV per atom


This record from Alexandria via LeMat-Bulk describes crystalline SrNd2Tl4 at its relaxed geometry. The functional is GGA-PBE.

Cell lengths 5.437, 5.437, 8.980 Å; angles 107.62, 107.62, 90.00 degrees
Positions (direct):
1 Tl 0.871 0.371 0.743
2 Nd 0.749 0.749 0.499
3 Tl 0.129 0.629 0.257
4 Tl 0.371 0.871 0.743
5 Tl 0.629 0.129 0.257
6 Sr 0.000 0.000 0.000
7 Nd 0.251 0.251 0.501

Computed properties:
Formation enthalpy at 0 K ... -227 meV per atom


This record from Alexandria via LeMat-Bulk describes crystalline Sr2NdTl at its relaxed geometry. The functional is GGA-PBE.

Cell lengths 3.879, 3.879, 12.784 Å; angles 81.27, 81.27, 60.00 degrees
Each line ends with the local moment (μB).
Positions (direct):
1 Sr 0.902 0.902 0.293  0.01
2 Sr 0.098 0.098 0.707  0.01
3 Nd 0.000 0.000 0.000  0.25
4 Tl 0.500 0.500 0.500  0.00

Computed properties:
Formation enthalpy at 0 K ... 92 meV per atom
Energy above the most stable polymorph in this dataset ... 0.188 eV per atom


This record from Alexandria via LeMat-Bulk describes crystalline Sr2NdTl at its relaxed geometry. The functional is GGA-PBE.

Cell lengths 3.833, 3.833, 10.524 Å; angles 90.00, 90.00, 90.00 degrees
Positions (direct):
1 Nd 0.500 0.500 0.500
2 Tl 0.500 0.500 0.000
3 Sr 0.000 0.000 0.213
4 Sr 0.000 0.000 0.787

Computed properties:
Formation enthalpy at 0 K ... -96 meV per atom
Energy above the most stable polymorph in this dataset ... 0.000 eV per atom


This record from Alexandria via LeMat-Bulk describes crystalline SrNdTl at its relaxed geometry. The functional is GGA-PBE.

Cell lengths 5.105, 5.105, 8.530 Å; angles 90.02, 90.02, 90.00 degrees
Positions (direct):
1 Tl 0.814 0.867 0.161
2 Sr 0.314 0.367 0.282
3 Tl 0.314 0.366 0.678
4 Sr 0.814 0.866 0.557
5 Nd 0.814 0.367 0.920
6 Nd 0.314 0.866 0.920

Computed properties:
Formation enthalpy at 0 K ... -258 meV per atom
Energy above the most stable polymorph in this dataset ... 0.000 eV per atom


This record from Alexandria via LeMat-Bulk describes crystalline SrNd3Tl4 at its relaxed geometry. The functional is GGA-PBE.

Cell lengths 5.597, 7.867, 11.196 Å; angles 90.00, 90.00, 90.00 degrees
Positions (direct):
1 Nd 0.502 0.500 0.750
2 Tl 0.003 0.245 0.750
3 Tl 0.500 0.755 0.000
4 Tl 0.500 0.245 0.500
5 Tl 0.003 0.755 0.750
6 Nd 0.498 0.000 0.250
7 Sr 0.000 0.500 0.000
8 Nd 0.498 0.500 0.250
9 Sr 0.000 0.500 0.500
10 Nd 0.000 0.000 0.000
11 Nd 0.502 0.000 0.750
12 Nd 0.000 0.000 0.500
13 Tl 0.500 0.245 0.000
14 Tl 0.500 0.755 0.500
15 Tl 0.997 0.755 0.250
16 Tl 0.997 0.245 0.250

Computed properties:
Formation enthalpy at 0 K ... -373 meV per atom


This record from Alexandria via LeMat-Bulk describes crystalline Sr4NdTl5 at its relaxed geometry. The functional is GGA-PBE.

Cell lengths 4.047, 4.047, 20.383 Å; angles 90.00, 90.00, 90.00 degrees
Positions (direct):
1 Sr 0.000 0.000 0.602
2 Tl 0.500 0.500 0.500
3 Nd 0.000 0.000 0.000
4 Tl 0.500 0.500 0.702
5 Sr 0.000 0.000 0.196
6 Tl 0.500 0.500 0.298
7 Tl 0.500 0.500 0.909
8 Sr 0.000 0.000 0.398
9 Sr 0.000 0.000 0.804
10 Tl 0.500 0.500 0.091

Computed properties:
Formation enthalpy at 0 K ... -415 meV per atom


This record from Alexandria via LeMat-Bulk describes crystalline SrNdTl6 at its relaxed geometry. The functional is GGA-PBE.

Cell lengths 4.894, 4.894, 9.879 Å; angles 90.00, 90.00, 90.00 degrees
Positions (direct):
1 Tl 0.000 0.500 0.256
2 Tl 0.000 0.500 0.744
3 Tl 0.500 0.000 0.256
4 Tl 0.500 0.000 0.744
5 Sr 0.000 0.000 0.000
6 Nd 0.000 0.000 0.500
7 Tl 0.500 0.500 0.000
8 Tl 0.500 0.500 0.500

Computed properties:
Formation enthalpy at 0 K ... -279 meV per atom


This record from Alexandria via LeMat-Bulk describes crystalline SrNdTlZn at its relaxed geometry. The functional is GGA-PBE.

Cell lengths 5.522, 5.522, 5.522 Å; angles 60.00, 60.00, 60.00 degrees
Positions (direct):
1 Zn 0.000 0.000 0.000
2 Sr 0.250 0.250 0.250
3 Tl 0.500 0.500 0.500
4 Nd 0.750 0.750 0.750

Computed properties:
Formation enthalpy at 0 K ... -293 meV per atom
Energy above the most stable polymorph in this dataset ... 0.029 eV per atom


This record from Alexandria via LeMat-Bulk describes crystalline SrNdTlZn at its relaxed geometry. The functional is GGA-PBE.

Cell lengths 3.858, 3.858, 7.979 Å; angles 90.00, 90.00, 90.00 degrees
Positions (direct):
1 Nd 0.500 0.500 0.587
2 Tl 0.000 0.000 0.839
3 Zn 0.000 0.000 0.382
4 Sr 0.500 0.500 0.121

Computed properties:
Formation enthalpy at 0 K ... -321 meV per atom
Energy above the most stable polymorph in this dataset ... 0.000 eV per atom


This record from Alexandria via LeMat-Bulk describes crystalline SrNd14Tm at its relaxed geometry. The functional is GGA-PBE.

Cell lengths 7.414, 7.414, 10.378 Å; angles 90.00, 90.00, 89.99 degrees
Positions (direct):
1 Sr 0.875 0.875 0.500
2 Nd 0.618 0.618 0.753
3 Nd 0.132 0.618 0.247
4 Nd 0.618 0.132 0.753
5 Nd 0.875 0.375 0.500
6 Nd 0.875 0.875 0.000
7 Nd 0.375 0.875 0.000
8 Nd 0.132 0.132 0.247
9 Tm 0.375 0.375 0.500
10 Nd 0.618 0.618 0.247
11 Nd 0.875 0.375 0.000
12 Nd 0.132 0.132 0.753
13 Nd 0.375 0.875 0.500
14 Nd 0.375 0.375 0.000
15 Nd 0.618 0.132 0.247
16 Nd 0.132 0.618 0.753

Computed properties:
Formation enthalpy at 0 K ... 46 meV per atom


This record from Alexandria via LeMat-Bulk describes crystalline SrNd8Y6 at its relaxed geometry. The functional is GGA-PBE.

Cell lengths 8.373, 8.373, 8.373 Å; angles 72.24, 72.24, 72.24 degrees
Positions (direct):
1 Y 0.382 0.825 0.567
2 Y 0.175 0.433 0.618
3 Nd 0.141 0.614 0.947
4 Sr 0.000 0.000 0.000
5 Y 0.567 0.382 0.825
6 Nd 0.859 0.386 0.053
7 Y 0.825 0.567 0.382
8 Nd 0.614 0.947 0.141
9 Nd 0.238 0.238 0.238
10 Nd 0.053 0.859 0.386
11 Y 0.433 0.618 0.175
12 Y 0.618 0.175 0.433
13 Nd 0.762 0.762 0.762
14 Nd 0.947 0.141 0.614
15 Nd 0.386 0.053 0.859

Computed properties:
Formation enthalpy at 0 K ... 189 meV per atom


This record from Alexandria via LeMat-Bulk describes crystalline SrNd6Y12 at its relaxed geometry. The functional is GGA-PBE.

Cell lengths 8.906, 9.614, 9.614 Å; angles 69.08, 72.02, 107.98 degrees
Positions (direct):
1 Nd 0.949 0.313 0.476
2 Y 0.267 0.429 0.625
3 Y 0.892 0.625 0.946
4 Nd 0.426 0.476 0.211
5 Y 0.517 0.840 0.268
6 Y 0.215 0.732 0.108
7 Sr 0.000 0.000 0.000
8 Nd 0.364 0.789 0.687
9 Y 0.677 0.892 0.840
10 Y 0.838 0.946 0.429
11 Nd 0.051 0.687 0.524
12 Y 0.323 0.108 0.160
13 Nd 0.574 0.524 0.789
14 Nd 0.636 0.211 0.313
15 Y 0.108 0.375 0.054
16 Y 0.785 0.268 0.892
17 Y 0.483 0.160 0.732
18 Y 0.162 0.054 0.571
19 Y 0.733 0.571 0.375

Computed properties:
Formation enthalpy at 0 K ... 49 meV per atom


This record from Alexandria via LeMat-Bulk describes crystalline SrNd4Y at its relaxed geometry. The functional is GGA-PBE.

Cell lengths 6.888, 6.888, 6.888 Å; angles 60.00, 60.00, 60.00 degrees
Positions (direct):
1 Nd 0.628 0.116 0.628
2 Y 0.000 0.000 0.000
3 Nd 0.628 0.628 0.628
4 Nd 0.628 0.628 0.116
5 Nd 0.116 0.628 0.628
6 Sr 0.250 0.250 0.250

Computed properties:
Formation enthalpy at 0 K ... 220 meV per atom


This record from Alexandria via LeMat-Bulk describes crystalline SrNdY2 at its relaxed geometry. The functional is GGA-PBE.

Cell lengths 5.230, 5.280, 5.280 Å; angles 90.00, 90.00, 90.00 degrees
Positions (direct):
1 Y 0.000 0.000 0.500
2 Y 0.000 0.500 0.000
3 Nd 0.500 0.000 0.000
4 Sr 0.500 0.500 0.500

Computed properties:
Formation enthalpy at 0 K ... 184 meV per atom
Energy above the most stable polymorph in this dataset ... 0.074 eV per atom


This record from Alexandria via LeMat-Bulk describes crystalline SrNdY2 at its relaxed geometry. The functional is GGA-PBE.

Cell lengths 3.716, 3.716, 12.505 Å; angles 81.45, 81.45, 60.00 degrees
Positions (direct):
1 Nd 0.000 0.000 0.000
2 Y 0.256 0.256 0.232
3 Y 0.744 0.744 0.768
4 Sr 0.500 0.500 0.500

Computed properties:
Formation enthalpy at 0 K ... 124 meV per atom
Energy above the most stable polymorph in this dataset ... 0.014 eV per atom


This record from Alexandria via LeMat-Bulk describes crystalline SrNdY2 at its relaxed geometry. The functional is GGA-PBE.

Cell lengths 3.718, 3.718, 12.430 Å; angles 81.40, 81.40, 60.00 degrees
Positions (direct):
1 Sr 0.500 0.500 0.499
2 Y 0.255 0.255 0.234
3 Nd 0.666 0.666 0.001
4 Y 0.078 0.078 0.766

Computed properties:
Formation enthalpy at 0 K ... 110 meV per atom
Energy above the most stable polymorph in this dataset ... 0.000 eV per atom


This record from Alexandria via LeMat-Bulk describes crystalline SrNdY2 at its relaxed geometry. The functional is GGA-PBE.

Cell lengths 3.738, 3.738, 10.672 Å; angles 90.00, 90.00, 90.00 degrees
Positions (direct):
1 Y 0.000 0.000 0.223
2 Y 0.000 0.000 0.777
3 Nd 0.500 0.500 0.000
4 Sr 0.500 0.500 0.500

Computed properties:
Formation enthalpy at 0 K ... 119 meV per atom
Energy above the most stable polymorph in this dataset ... 0.009 eV per atom


This record from Alexandria via LeMat-Bulk describes crystalline SrNd12Y6 at its relaxed geometry. The functional is GGA-PBE.

Cell lengths 8.954, 8.954, 8.954 Å; angles 98.28, 98.28, 98.28 degrees
Positions (direct):
1 Y 0.348 0.898 0.898
2 Y 0.102 0.102 0.652
3 Nd 0.500 0.240 0.760
4 Nd 0.641 0.916 0.641
5 Nd 0.359 0.359 0.084
6 Sr 0.000 0.000 0.000
7 Nd 0.240 0.760 0.500
8 Nd 0.916 0.641 0.641
9 Nd 0.760 0.500 0.240
10 Y 0.898 0.898 0.348
11 Y 0.102 0.652 0.102
12 Nd 0.641 0.641 0.916
13 Nd 0.500 0.760 0.240
14 Nd 0.359 0.084 0.359
15 Y 0.898 0.348 0.898
16 Nd 0.084 0.359 0.359
17 Nd 0.760 0.240 0.500
18 Y 0.652 0.102 0.102
19 Nd 0.240 0.500 0.760

Computed properties:
Formation enthalpy at 0 K ... 191 meV per atom


This record from Alexandria via LeMat-Bulk describes crystalline Sr2NdY at its relaxed geometry. The functional is GGA-PBE.

Cell lengths 3.766, 3.766, 13.804 Å; angles 82.16, 82.16, 60.00 degrees
Each line ends with the local moment (μB).
Positions (direct):
1 Nd 0.000 0.000 0.000  0.15
2 Sr 0.089 0.089 0.732  0.05
3 Sr 0.911 0.911 0.268  0.05
4 Y 0.500 0.500 0.500  0.26

Computed properties:
Formation enthalpy at 0 K ... 315 meV per atom